Density functional theory data (PBE) for an optimized crystal structure of NbZnSn2.

POSCAR file:
```
NbZnSn2
1.0
-4.2071 -6.3224 1.2229
4.2424 -1.6222 6.2079
-1.8293 -2.4207 5.3831
Zn Nb Sn
2 2 4
Direct
0.5000 0.5000 0.0000 Zn
0.2500 0.7500 0.5000 Zn
0.0000 0.0000 0.0000 Nb
0.7500 0.2500 0.5000 Nb
0.6054 0.1250 0.2500 Sn
0.1446 0.6250 0.2500 Sn
0.3750 0.3946 0.7500 Sn
0.8750 0.8554 0.7500 Sn
```

Output
- Uncorrected energy: -4.4273 eV/atom
- M_tot: 0.0000 μB/atom
- Fermi-level density of states: 1.15 states/eV per atom
- Calculated density: 7.57 g/cm3